# 1
Material: Hf2TaReGe
Method: DFT, PBE-GGA
State: relaxed

Its volume is 21.755 Å³/atom. The energy of formation from the pure elements comes out at 1041 meV/atom. The value obtained for the density of states at the Fermi level is 4.4 states/eV/f.u.

The structure belongs to space group P4/mmm (No. 123); the cell edges are 4.830, 4.830 and 4.663 Å and the angles 90.00°, 90.00° and 90.00°. Symmetry generates all atoms from Hf at (0.000, 0.500, 0.000), Ta at (0.000, 0.000, 0.500), Re at (0.500, 0.500, 0.500) and Ge at (0.000, 0.000, 0.000).

# 2
Material: NaBeCd2
Method: DFT, PBE-GGA
State: relaxed

Its volume is 28.919 Å³/atom. The energy of formation from the pure elements comes out at 431 meV/atom. The value obtained for the density of states at the Fermi level is 2.1 states/eV/f.u.

The structure belongs to space group I-42d (No. 122); the cell edges are 5.382, 5.382 and 15.972 Å and the angles 90.00°, 90.00° and 90.00°. Symmetry generates all atoms from Na at (0.000, 0.000, 0.000), Be at (0.000, 0.000, 0.500) and Cd at (0.071, 0.250, 0.625).

Copy entry 1 word for word.
Material: Hf2TaReGe
Method: DFT, PBE-GGA
State: relaxed

Its volume is 21.755 Å³/atom. The energy of formation from the pure elements comes out at 1041 meV/atom. The value obtained for the density of states at the Fermi level is 4.4 states/eV/f.u.

The structure belongs to space group P4/mmm (No. 123); the cell edges are 4.830, 4.830 and 4.663 Å and the angles 90.00°, 90.00° and 90.00°. Symmetry generates all atoms from Hf at (0.000, 0.500, 0.000), Ta at (0.000, 0.000, 0.500), Re at (0.500, 0.500, 0.500) and Ge at (0.000, 0.000, 0.000).

> The highest energy of formation from the pure elements belongs to which entry?

Hf2TaReGe